# Li2ZrIn | Alexandria | PBE | relaxed
# Electronic total energy = -3.810 eV/atom
data_Li2ZrIn
_chemical_formula_sum 'Li2 Zr1 In1'
_space_group_name_H-M_alt 'P 1 m 1'
_space_group_IT_number 6
_cell_length_a 2.900
_cell_length_b 4.494
_cell_length_c 6.302
_cell_angle_alpha 90.00
_cell_angle_beta 102.08
_cell_angle_gamma 90.00
loop_
_space_group_symop_operation_xyz
'x,y,z'
'x,-y,z'
loop_
_atom_site_label
_atom_site_fract_x
_atom_site_fract_y
_atom_site_fract_z
Li1 0.000 0.000 0.000
Li2 0.268 0.500 0.219
Zr1 0.869 0.000 0.502
In1 0.477 0.500 0.762